Material: Al2TlSiAu
Method: DFT, GGA-PBEsol
State: relaxed

Calculated values
The calculation puts the total energy at -3.4841 eV per atom. Its uncorrected formation energy is 0.613 eV/atom.

The structure in CIF format:
```
data_Al2TlSiAu
_chemical_formula_sum 'Al2 Tl1 Si1 Au1'
_symmetry_space_group_name_H-M 'P 1'
_symmetry_Int_Tables_number 1
_cell_length_a 4.7412
_cell_length_b 4.7412
_cell_length_c 5.1420
_cell_angle_alpha 90.00
_cell_angle_beta 90.00
_cell_angle_gamma 90.00
loop_
_symmetry_equiv_pos_as_xyz
'x,y,z'
loop_
_atom_site_label
_atom_site_type_symbol
_atom_site_fract_x
_atom_site_fract_y
_atom_site_fract_z
Tl1 Tl 0.0000 0.0000 0.5000
Au1 Au 0.5000 0.5000 0.5000
Si1 Si 0.0000 0.0000 0.0000
Al1 Al 0.0000 0.5000 0.0000
Al2 Al 0.5000 0.0000 0.0000
```


Material: AlTlSi2Au
Method: DFT, GGA-PBEsol
State: relaxed

Calculated values
The calculation puts the total energy at -3.8256 eV per atom. Its uncorrected formation energy is 0.602 eV/atom.

The structure in CIF format:
```
data_AlTlSi2Au
_chemical_formula_sum 'Al1 Tl1 Si2 Au1'
_symmetry_space_group_name_H-M 'P 1'
_symmetry_Int_Tables_number 1
_cell_length_a 4.8047
_cell_length_b 4.9133
_cell_length_c 4.9133
_cell_angle_alpha 90.00
_cell_angle_beta 90.00
_cell_angle_gamma 90.00
loop_
_symmetry_equiv_pos_as_xyz
'x,y,z'
loop_
_atom_site_label
_atom_site_type_symbol
_atom_site_fract_x
_atom_site_fract_y
_atom_site_fract_z
Tl1 Tl 0.5000 0.5000 0.5000
Au1 Au 0.0000 0.0000 0.0000
Si1 Si 0.0000 0.0000 0.5000
Si2 Si 0.0000 0.5000 0.0000
Al1 Al 0.5000 0.0000 0.0000
```


Copy entry 2 word for word.
Material: AlTlSi2Au
Method: DFT, GGA-PBEsol
State: relaxed

Calculated values
The calculation puts the total energy at -3.8256 eV per atom. Its uncorrected formation energy is 0.602 eV/atom.

The structure in CIF format:
```
data_AlTlSi2Au
_chemical_formula_sum 'Al1 Tl1 Si2 Au1'
_symmetry_space_group_name_H-M 'P 1'
_symmetry_Int_Tables_number 1
_cell_length_a 4.8047
_cell_length_b 4.9133
_cell_length_c 4.9133
_cell_angle_alpha 90.00
_cell_angle_beta 90.00
_cell_angle_gamma 90.00
loop_
_symmetry_equiv_pos_as_xyz
'x,y,z'
loop_
_atom_site_label
_atom_site_type_symbol
_atom_site_fract_x
_atom_site_fract_y
_atom_site_fract_z
Tl1 Tl 0.5000 0.5000 0.5000
Au1 Au 0.0000 0.0000 0.0000
Si1 Si 0.0000 0.0000 0.5000
Si2 Si 0.0000 0.5000 0.0000
Al1 Al 0.5000 0.0000 0.0000
```